Entry 1:
A plane-wave DFT calculation with PBE-GGA was carried out for crystalline Sc3PbCl at its relaxed geometry.

The space group is Pm-3m (No. 221) and the conventional cell measures 5.551, 5.551 and 5.551 Å, with angles of 90.00, 90.00 and 90.00 degrees. The inequivalent atoms are Sc at (0.000, 0.000, 0.500), Pb at (0.000, 0.000, 0.000) and Cl at (0.500, 0.500, 0.500).

The value obtained for the relative energy among the computed polymorphs is 816 meV/atom. As for the magnetic moment: 0.697 μB per atom. The electronic total energy comes out at -22.759 eV/f.u. Its density of states at the Fermi level is 1.649 states/eV per atom. The formation energy (no corrections) comes out at 173 kJ/mol of formula units.

Entry 2:
A plane-wave DFT calculation with PBE-GGA was carried out for crystalline ZnTe2S8 at its relaxed geometry.

The space group is P-1 (No. 2) and the conventional cell measures 5.304, 7.915 and 8.655 Å, with angles of 96.95, 106.72 and 104.81 degrees. The inequivalent atoms are Zn at (0.000, 0.000, 0.000), Te at (0.208, 0.701, 0.547), S at (0.222, 0.312, 0.098), S at (0.268, 0.877, 0.200), S at (0.323, 0.001, 0.729) and S at (0.365, 0.623, 0.819).

As for the magnetic moment: 0.000 μB per atom. The electronic total energy comes out at -39.641 eV/f.u. The formation energy (no corrections) comes out at 90 kJ/mol of formula units.

Entry 3:
A plane-wave DFT calculation with PBE-GGA was carried out for crystalline AcTb2CeSe4 at its relaxed geometry.

The space group is P2/m (No. 10) and the conventional cell measures 7.258, 4.161 and 7.433 Å, with angles of 90.00, 108.74 and 90.00 degrees. The inequivalent atoms are Ac at (0.000, 0.000, 0.000), Tb at (0.000, 0.500, 0.500), Tb at (0.500, 0.000, 0.500), Ce at (0.500, 0.500, 0.000), Se at (0.251, 0.000, 0.734) and Se at (0.264, 0.500, 0.272).

As for the magnetic moment: 0.144 μB per atom. The electronic total energy comes out at -47.617 eV/f.u. Its density of states at the Fermi level is 1.126 states/eV per atom. The formation energy (no corrections) comes out at -1387 kJ/mol of formula units.

Entry 4:
A plane-wave DFT calculation with PBE-GGA was carried out for crystalline NbGeOs2Rh at its relaxed geometry.

The space group is P4/mmm (No. 123) and the conventional cell measures 4.697, 4.697 and 4.470 Å, with angles of 90.00, 90.00 and 90.00 degrees. The inequivalent atoms are Nb at (0.000, 0.000, 0.000), Ge at (0.500, 0.500, 0.000), Os at (0.000, 0.500, 0.500) and Rh at (0.500, 0.500, 0.500).

As for the magnetic moment: 0.000 μB per atom. The formation enthalpy at 0 K comes out at 1.718 eV/atom. The electronic total energy comes out at -35.908 eV/f.u. Its density of states at the Fermi level is 1.653 states/eV per atom.

Entry 5:
A plane-wave DFT calculation with PBE-GGA was carried out for crystalline LaSb2P2 at its relaxed geometry.

The space group is I4/mmm (No. 139) and the conventional cell measures 4.280, 4.280 and 13.655 Å, with angles of 90.00, 90.00 and 90.00 degrees. The inequivalent atoms are La at (0.000, 0.000, 0.000), Sb at (0.000, 0.500, 0.250) and P at (0.000, 0.000, 0.421).

The value obtained for the relative energy among the computed polymorphs is 90 meV/atom. As for the magnetic moment: 0.000 μB per atom. The electronic total energy comes out at -25.657 eV/f.u. Its density of states at the Fermi level is 0.659 states/eV per atom. The formation energy (no corrections) comes out at -161 kJ/mol of formula units.

Entry 6:
A plane-wave DFT calculation with PBE-GGA was carried out for crystalline SrBeRu2 at its relaxed geometry.

The space group is F-43m (No. 216) and the conventional cell measures 6.453, 6.453 and 6.453 Å, with angles of 90.00, 90.00 and 90.00 degrees. The inequivalent atoms are Sr at (0.000, 0.000, 0.000), Be at (0.250, 0.250, 0.250), Ru at (0.000, 0.000, 0.500) and Ru at (0.250, 0.250, 0.750).

As for the magnetic moment: 0.000 μB per atom. The formation enthalpy at 0 K comes out at 0.741 eV/atom. The electronic total energy comes out at -20.996 eV/f.u. Its density of states at the Fermi level is 0.855 states/eV per atom.

Entry 7:
A plane-wave DFT calculation with PBE-GGA was carried out for crystalline Tb3NdBi4 at its relaxed geometry.

The space group is Cmmm (No. 65) and the conventional cell measures 9.044, 12.790 and 4.525 Å, with angles of 90.00, 90.00 and 90.00 degrees. The inequivalent atoms are Tb at (0.000, 0.000, 0.000), Tb at (0.250, 0.250, 0.500), Nd at (0.000, 0.500, 0.000), Bi at (0.000, 0.247, 0.000) and Bi at (0.245, 0.000, 0.500).

The value obtained for the relative energy among the computed polymorphs is 3 meV/atom. As for the magnetic moment: 0.000 μB per atom. The formation enthalpy at 0 K comes out at -0.894 eV/atom. The electronic total energy comes out at -41.335 eV/f.u. Its density of states at the Fermi level is 0.153 states/eV per atom.

Entry 8:
A plane-wave DFT calculation with PBE-GGA was carried out for crystalline Dy3AlAg2 at its relaxed geometry.

The space group is P4/mmm (No. 123) and the conventional cell measures 3.596, 3.596 and 11.055 Å, with angles of 90.00, 90.00 and 90.00 degrees. The inequivalent atoms are Dy at (0.000, 0.000, 0.000), Dy at (0.000, 0.000, 0.335), Al at (0.500, 0.500, 0.500) and Ag at (0.500, 0.500, 0.170).

As for the magnetic moment: 0.000 μB per atom. The formation enthalpy at 0 K comes out at -0.352 eV/atom. The electronic total energy comes out at -25.366 eV/f.u. Its density of states at the Fermi level is 0.442 states/eV per atom.

Entry 9:
A plane-wave DFT calculation with PBE-GGA was carried out for crystalline Tb2Nd2Mg15 at its relaxed geometry.

The space group is R-3m (No. 166, hexagonal axes) and the conventional cell measures 10.5630, 10.5630 and 15.2553 Å, with angles of 90.00, 90.00 and 120.00 degrees. The inequivalent atoms are Tb at (0.0000, 0.0000, 0.0992), Nd at (0.0000, 0.0000, 0.3321), Mg at (0.0000, 0.2974, 0.0000), Mg at (0.0000, 0.5000, 0.5000) and Mg at (0.0087, 0.5043, 0.1476).

As for the magnetic moment: 0.000 μB per atom. The formation enthalpy at 0 K comes out at -0.003 eV/atom. The electronic total energy comes out at -42.776 eV/f.u. Its density of states at the Fermi level is 0.785 states/eV per atom.

Entry 10:
A plane-wave DFT calculation with PBE-GGA was carried out for crystalline CaTaSi3 at its relaxed geometry.

The space group is Pm-3m (No. 221) and the conventional cell measures 4.883, 4.883 and 4.883 Å, with angles of 90.00, 90.00 and 90.00 degrees. The inequivalent atoms are Ca at (0.000, 0.000, 0.000), Ta at (0.500, 0.500, 0.500) and Si at (0.000, 0.500, 0.500).

The value obtained for the relative energy among the computed polymorphs is 0 meV/atom. As for the magnetic moment: 0.000 μB per atom. The electronic total energy comes out at -29.578 eV/f.u. Its density of states at the Fermi level is 0.543 states/eV per atom. The formation energy (no corrections) comes out at 53 kJ/mol of formula units.

Entry 11:
A plane-wave DFT calculation with PBE-GGA was carried out for crystalline LaZn3F at its relaxed geometry.

The space group is Pm-3m (No. 221) and the conventional cell measures 4.748, 4.748 and 4.748 Å, with angles of 90.00, 90.00 and 90.00 degrees. The inequivalent atoms are La at (0.000, 0.000, 0.000), Zn at (0.000, 0.500, 0.500) and F at (0.500, 0.500, 0.500).

The value obtained for the relative energy among the computed polymorphs is 0 meV/atom. As for the magnetic moment: 0.000 μB per atom. The electronic total energy comes out at -12.880 eV/f.u. Its density of states at the Fermi level is 0.735 states/eV per atom. The formation energy (no corrections) comes out at -218 kJ/mol of formula units.

Entry 12:
A plane-wave DFT calculation with PBE-GGA was carried out for crystalline CeCdSeO5 at its relaxed geometry.

The space group is C2/c (No. 15) and the conventional cell measures 7.381, 10.519 and 7.475 Å, with angles of 90.00, 110.24 and 90.00 degrees. The inequivalent atoms are Ce at (0.250, 0.250, 0.000), Cd at (0.000, 0.014, 0.250), Se at (0.000, 0.478, 0.250), O at (0.000, 0.206, 0.750), O at (0.028, 0.371, 0.090) and O at (0.202, 0.052, 0.105).

As for the magnetic moment: 0.000 μB per atom. The electronic total energy comes out at -48.657 eV/f.u. The formation energy (no corrections) comes out at -1306 kJ/mol of formula units.

Entry 13:
A plane-wave DFT calculation with PBE-GGA was carried out for crystalline La2InSn4 at its relaxed geometry.

The space group is I4mm (No. 107) and the conventional cell measures 6.638, 6.638 and 9.658 Å, with angles of 90.00, 90.00 and 90.00 degrees. The inequivalent atoms are La at (0.000, 0.500, 0.000), In at (0.000, 0.000, 0.000) and Sn at (0.250, 0.250, 0.250).

The value obtained for the relative energy among the computed polymorphs is 0 meV/atom. As for the magnetic moment: 0.000 μB per atom. The formation enthalpy at 0 K comes out at -0.525 eV/atom. The electronic total energy comes out at -32.278 eV/f.u. Its density of states at the Fermi level is 0.479 states/eV per atom.